No. 1
Na3MgSb | PBE | relaxed

Lattice parameters (Å, degrees): 7.8394 7.8394 7.8394 84.36 118.26 128.66
Last column: nearest neighbours and their distance in Å.
Fractional coordinates of all 10 atoms:
Na  0.0352  0.2533  0.7220  1 Mg 3.25, 4 Na 3.36-3.40, 2 Sb 3.50-3.53
Na  0.0352  0.8132  0.2819  1 Mg 3.25, 4 Na 3.36-3.40, 2 Sb 3.50-3.53
Na  0.5313  0.7533  0.7181  1 Mg 3.25, 4 Na 3.36-3.40, 2 Sb 3.50-3.53
Na  0.1095  0.2805  0.3290  3 Sb 3.10-3.42, 2 Mg 3.14-3.15, 4 Na 3.36-3.37
Na  0.5313  0.3132  0.2780  1 Mg 3.25, 4 Na 3.36-3.40, 2 Sb 3.50-3.53
Na  0.9515  0.7805  0.6710  3 Sb 3.10-3.42, 2 Mg 3.14-3.15, 4 Na 3.36-3.37
Mg  0.5300  0.0302  0.9997  2 Sb 2.86, 2 Na 3.14-3.15
Mg  0.0305  0.5302  0.0003  2 Sb 2.86, 2 Na 3.14-3.15
Sb  0.5671  0.7811  0.2860  2 Mg 2.86, 1 Na 3.10
Sb  0.4951  0.2811  0.7140  2 Mg 2.86, 1 Na 3.10

Output
Formation energy without anion corrections   -70 meV/atom
Energy above the lowest structure with this stoichiometry   0.0 kJ per mole of atoms

No. 2
NaMgSb | PBE | relaxed

Lattice parameters (Å, degrees): 4.7181 4.5354 8.0127 106.43 90.00 90.00
Last column: nearest neighbours and their distance in Å.
Fractional coordinates of all 6 atoms:
Na  0.2500  0.9217  0.8437  2 Na 3.37, 4 Sb 3.38, 4 Mg 3.46-3.56
Na  0.7500  0.0783  0.1563  2 Na 3.37, 4 Sb 3.38, 4 Mg 3.46-3.56
Mg  0.2500  0.2516  0.5035  4 Sb 2.92-2.96
Mg  0.7500  0.7484  0.4965  4 Sb 2.92-2.96
Sb  0.2500  0.6323  0.2646  4 Mg 2.92-2.96
Sb  0.7500  0.3677  0.7354  4 Mg 2.92-2.96

Output
Formation energy without anion corrections   -448 meV/atom

No. 3
NaMg2Sb2 | PBE | relaxed

Lattice parameters (Å, degrees): 8.6085 8.6085 3.5336 90.00 90.00 90.00
Last column: nearest neighbours and their distance in Å.
Fractional coordinates of all 10 atoms:
Sb  0.3348  0.8348  0.0000  6 Mg 3.04-3.12, 2 Na 3.21
Sb  0.8348  0.6652  0.0000  6 Mg 3.04-3.12, 2 Na 3.21
Sb  0.6652  0.1652  0.0000  6 Mg 3.04-3.12, 2 Na 3.21
Sb  0.1652  0.3348  0.0000  6 Mg 3.04-3.12, 2 Na 3.21
Mg  0.1312  0.6312  0.5000  6 Sb 3.04-3.12, 1 Mg 3.20
Mg  0.6312  0.8688  0.5000  6 Sb 3.04-3.12, 1 Mg 3.20
Mg  0.8688  0.3688  0.5000  6 Sb 3.04-3.12, 1 Mg 3.20
Mg  0.3688  0.1312  0.5000  6 Sb 3.04-3.12, 1 Mg 3.20
Na  0.0000  0.0000  0.0000  4 Sb 3.21, 2 Na 3.53
Na  0.5000  0.5000  0.0000  4 Sb 3.21, 2 Na 3.53

Output
Formation energy without anion corrections   -272 meV/atom
Energy above the lowest structure with this stoichiometry   5.6 kJ per mole of atoms